The following is a DFT calculation (GGA-PBE) of crystalline Mn2V4Cr at its relaxed geometry.

Summary:
SG ... I4/mmm (139)
Electronic total energy ... -9.099 eV/atom
Energy relative to the lowest polymorph listed for this composition ... 0.0040 eV per atom
ΔE_f ... 0.106 eV per atom

a = 4.9362 Å, b = 4.9362 Å, c = 4.9362 Å
α = 109.93°, β = 109.24°, γ = 109.24°
Element x y z (fractional)
1 Mn 0.5000 0.5000 0.0000
2 Mn 0.5000 0.0000 0.5000
3 V 0.5000 0.0000 0.0000
4 V 0.5000 0.5000 0.5000
5 V 0.0000 0.0000 0.5000
6 V 0.0000 0.5000 0.0000
7 Cr 0.0000 0.0000 0.0000